Entry 1:
HoPaMn2 | PBE | relaxed

The structure in POSCAR format:
```
HoPaMn2
1.0
4.780 0.000 0.000
0.000 4.780 0.000
0.000 0.000 3.367
Ho Pa Mn
1 1 2
Direct
0.000 0.000 0.000
0.500 0.500 0.000
0.000 0.500 0.500
0.500 0.000 0.500
```

ΔH_f (0 K) = 194 meV per atom
E above lowest polymorph = 143.5 meV per atom


Entry 2:
HoPa2Mn | PBE | relaxed

The structure in POSCAR format:
```
HoPa2Mn
1.0
3.352 0.000 0.000
0.000 3.352 0.000
0.000 0.000 8.286
Ho Pa Mn
1 2 1
Direct
0.000 0.000 0.000
0.500 0.500 0.313
0.500 0.500 0.687
0.000 0.000 0.500
```

ΔH_f (0 K) = 182 meV per atom


Entry 3:
HoPaMn2S8 | PBE | relaxed

The structure in POSCAR format:
```
HoPaMn2S8
1.0
-3.140 3.140 6.486
3.140 -3.140 6.486
3.140 3.140 -6.486
Ho Pa Mn S
1 1 2 8
Direct
0.000 0.000 0.000
0.250 0.750 0.500
0.500 0.500 0.000
0.750 0.250 0.500
0.274 0.703 0.129
0.297 0.427 0.571
0.397 0.014 0.059
0.573 0.145 0.871
0.662 0.603 0.617
0.855 0.726 0.429
0.955 0.338 0.941
0.986 0.045 0.383
```

raw formation energy = -0.9028 eV per atom


Entry 4:
HoPaMnS6 | PBE | relaxed

The structure in POSCAR format:
```
HoPaMnS6
1.0
6.354 0.000 0.000
-3.177 5.503 0.000
0.000 0.000 5.881
Ho Pa Mn S
1 1 1 6
Direct
0.000 0.000 0.000
0.667 0.333 0.500
0.333 0.667 0.000
0.026 0.372 0.239
0.026 0.654 0.761
0.346 0.372 0.761
0.346 0.974 0.239
0.628 0.654 0.239
0.628 0.974 0.761
```

raw formation energy = -1.1553 eV per atom


Entry 5:
HoPaMnTc | PBE | relaxed

The structure in POSCAR format:
```
HoPaMnTc
1.0
6.812 0.000 0.000
0.000 6.812 0.000
0.000 0.000 6.812
Ho Pa Mn Tc
4 4 4 4
Direct
0.000 0.000 0.000
0.000 0.500 0.500
0.500 0.000 0.500
0.500 0.500 0.000
0.000 0.000 0.500
0.000 0.500 0.000
0.500 0.000 0.000
0.500 0.500 0.500
0.250 0.250 0.750
0.250 0.750 0.250
0.750 0.250 0.250
0.750 0.750 0.750
0.250 0.250 0.250
0.250 0.750 0.750
0.750 0.250 0.750
0.750 0.750 0.250
```

ΔH_f (0 K) = 22 meV per atom


Entry 6:
HoMnPb2S5 | PBE | relaxed

The structure in POSCAR format:
```
HoMnPb2S5
1.0
1.984 -8.810 0.000
1.984 8.810 0.000
0.000 0.000 12.604
Ho Mn Pb S
2 2 4 10
Direct
0.198 0.802 0.500
0.802 0.198 0.000
0.445 0.555 0.900
0.555 0.445 0.400
0.119 0.881 0.800
0.134 0.866 0.145
0.866 0.134 0.645
0.881 0.119 0.300
0.039 0.961 0.490
0.297 0.703 0.147
0.319 0.681 0.851
0.350 0.650 0.487
0.493 0.507 0.246
0.507 0.493 0.746
0.650 0.350 0.987
0.681 0.319 0.351
0.703 0.297 0.647
0.961 0.039 0.990
```

raw formation energy = -0.9083 eV per atom


Entry 7:
HoMnPbS4 | PBE | relaxed

The structure in POSCAR format:
```
HoMnPbS4
1.0
6.640 0.000 0.000
0.000 6.106 0.000
-2.484 0.000 7.817
Ho Mn Pb S
2 2 2 8
Direct
0.240 0.250 0.057
0.760 0.750 0.943
0.232 0.750 0.821
0.768 0.250 0.179
0.281 0.250 0.559
0.719 0.750 0.441
0.013 0.508 0.224
0.013 0.992 0.224
0.432 0.750 0.635
0.440 0.750 0.096
0.560 0.250 0.904
0.568 0.250 0.365
0.987 0.008 0.776
0.987 0.492 0.776
```

raw formation energy = -0.9841 eV per atom


Entry 8:
HoMnPb2Se5 | PBE | relaxed

The structure in POSCAR format:
```
HoMnPb2Se5
1.0
2.049 -9.212 0.000
2.049 9.212 0.000
0.000 0.000 13.091
Ho Mn Pb Se
2 2 4 10
Direct
0.196 0.804 0.500
0.804 0.196 0.000
0.444 0.556 0.900
0.556 0.444 0.400
0.113 0.887 0.799
0.138 0.862 0.145
0.862 0.138 0.645
0.887 0.113 0.299
0.037 0.963 0.498
0.300 0.700 0.151
0.317 0.683 0.847
0.348 0.652 0.484
0.496 0.504 0.238
0.504 0.496 0.738
0.652 0.348 0.984
0.683 0.317 0.347
0.700 0.300 0.651
0.963 0.037 0.998
```

raw formation energy = -0.8299 eV per atom


Entry 9:
Ho2MnPd6 | PBE | relaxed

The structure in POSCAR format:
```
Ho2MnPd6
1.0
6.613 -3.865 0.000
6.613 3.865 0.000
-1.005 0.000 3.511
Ho Mn Pd
2 1 6
Direct
0.154 0.154 0.152
0.846 0.846 0.848
0.500 0.500 0.500
0.119 0.550 0.335
0.264 0.736 0.000
0.450 0.881 0.665
0.550 0.119 0.335
0.736 0.264 0.000
0.881 0.450 0.665
```

ΔH_f (0 K) = -407 meV per atom


Entry 10:
Ho2MnPd9 | PBE | relaxed

The structure in POSCAR format:
```
Ho2MnPd9
1.0
4.065 0.000 0.000
0.000 4.065 0.000
0.000 0.000 12.080
Ho Mn Pd
2 1 9
Direct
0.000 0.000 0.173
0.000 0.000 0.827
0.000 0.000 0.500
0.000 0.500 0.000
0.000 0.500 0.345
0.000 0.500 0.655
0.500 0.000 0.000
0.500 0.000 0.345
0.500 0.000 0.655
0.500 0.500 0.172
0.500 0.500 0.500
0.500 0.500 0.828
```

ΔH_f (0 K) = -649 meV per atom


Entry 11:
HoMnPd2 | PBE | relaxed

The structure in POSCAR format:
```
HoMnPd2
1.0
4.301 0.000 0.000
0.000 4.301 0.000
0.000 0.000 3.823
Ho Mn Pd
1 1 2
Direct
0.000 0.000 0.000
0.500 0.500 0.000
0.000 0.500 0.500
0.500 0.000 0.500
```

ΔH_f (0 K) = -547 meV per atom
E above lowest polymorph = 0.0 meV per atom


Entry 12:
HoMnPd4 | PBE | relaxed

The structure in POSCAR format:
```
HoMnPd4
1.0
3.949 0.000 0.000
0.000 3.949 0.000
0.000 0.000 7.548
Ho Mn Pd
1 1 4
Direct
0.000 0.000 0.000
0.500 0.500 0.500
0.000 0.500 0.274
0.000 0.500 0.726
0.500 0.000 0.274
0.500 0.000 0.726
```

ΔH_f (0 K) = -292 meV per atom
E above lowest polymorph = 163.5 meV per atom


Entry 13:
HoMnPd14 | PBE | relaxed

The structure in POSCAR format:
```
HoMnPd14
1.0
5.645 0.000 0.000
0.000 5.645 0.000
0.000 0.000 7.954
Ho Mn Pd
1 1 14
Direct
0.000 0.000 0.000
0.500 0.500 0.000
0.000 0.000 0.500
0.000 0.500 0.000
0.000 0.500 0.500
0.254 0.254 0.251
0.254 0.254 0.749
0.254 0.746 0.251
0.254 0.746 0.749
0.500 0.000 0.000
0.500 0.000 0.500
0.500 0.500 0.500
0.746 0.254 0.251
0.746 0.254 0.749
0.746 0.746 0.251
0.746 0.746 0.749
```

ΔH_f (0 K) = -258 meV per atom


Entry 14:
HoMnPd4 | PBE | relaxed

The structure in POSCAR format:
```
HoMnPd4
1.0
0.000 3.759 3.759
3.759 0.000 3.759
3.759 3.759 0.000
Ho Mn Pd
1 1 4
Direct
0.000 0.000 0.000
0.750 0.750 0.750
0.375 0.375 0.375
0.375 0.375 0.874
0.375 0.874 0.375
0.874 0.375 0.375
```

ΔH_f (0 K) = -455 meV per atom
E above lowest polymorph = 0.0 meV per atom


Entry 15:
HoMnPd2 | PBE | relaxed

The structure in POSCAR format:
```
HoMnPd2
1.0
6.640 0.000 0.000
0.000 6.640 0.000
0.000 0.000 6.640
Ho Mn Pd
4 4 8
Direct
0.000 0.000 0.000
0.000 0.500 0.500
0.500 0.000 0.500
0.500 0.500 0.000
0.000 0.000 0.500
0.000 0.500 0.000
0.500 0.000 0.000
0.500 0.500 0.500
0.250 0.250 0.250
0.250 0.250 0.750
0.250 0.750 0.250
0.250 0.750 0.750
0.750 0.250 0.250
0.750 0.250 0.750
0.750 0.750 0.250
0.750 0.750 0.750
```

ΔH_f (0 K) = -539 meV per atom
E above lowest polymorph = 8.2 meV per atom


Entry 16:
Ho2MnPd | PBE | relaxed

The structure in POSCAR format:
```
Ho2MnPd
1.0
3.486 0.000 0.000
0.000 3.486 0.000
0.000 0.000 6.951
Ho Mn Pd
2 1 1
Direct
0.000 0.000 0.250
0.000 0.000 0.750
0.500 0.500 0.000
0.500 0.500 0.500
```

ΔH_f (0 K) = -359 meV per atom


Entry 17:
Ho4MnPd15 | PBE | relaxed

The structure in POSCAR format:
```
Ho4MnPd15
1.0
4.078 0.000 0.000
0.000 4.078 0.000
0.000 0.000 20.348
Ho Mn Pd
4 1 15
Direct
0.000 0.000 0.102
0.000 0.000 0.306
0.000 0.000 0.694
0.000 0.000 0.898
0.000 0.000 0.500
0.000 0.500 0.000
0.000 0.500 0.204
0.000 0.500 0.408
0.000 0.500 0.592
0.000 0.500 0.796
0.500 0.000 0.000
0.500 0.000 0.204
0.500 0.000 0.408
0.500 0.000 0.592
0.500 0.000 0.796
0.500 0.500 0.103
0.500 0.500 0.306
0.500 0.500 0.500
0.500 0.500 0.694
0.500 0.500 0.897
```

ΔH_f (0 K) = -749 meV per atom


Entry 18:
HoMnPd2 | PBE | relaxed

The structure in POSCAR format:
```
HoMnPd2
1.0
3.341 0.000 0.000
0.000 3.341 0.000
0.000 0.000 6.502
Ho Mn Pd
1 1 2
Direct
0.000 0.000 0.000
0.000 0.000 0.500
0.500 0.500 0.276
0.500 0.500 0.724
```

ΔH_f (0 K) = -523 meV per atom
E above lowest polymorph = 24.6 meV per atom


Entry 19:
HoMnPd6 | PBE | relaxed

The structure in POSCAR format:
```
HoMnPd6
1.0
3.711 2.143 3.224
-3.711 2.143 3.224
0.000 -4.285 3.224
Ho Mn Pd
1 1 6
Direct
0.000 0.000 0.000
0.500 0.500 0.500
0.170 0.170 0.539
0.170 0.539 0.170
0.461 0.830 0.830
0.539 0.170 0.170
0.830 0.461 0.830
0.830 0.830 0.461
```

ΔH_f (0 K) = -24 meV per atom
E above lowest polymorph = 507.3 meV per atom


Entry 20:
HoMnPd6 | PBE | relaxed

The structure in POSCAR format:
```
HoMnPd6
1.0
4.034 0.000 0.000
0.000 4.034 0.000
0.000 0.000 8.000
Ho Mn Pd
1 1 6
Direct
0.000 0.000 0.000
0.000 0.000 0.500
0.000 0.500 0.263
0.000 0.500 0.737
0.500 0.000 0.263
0.500 0.000 0.737
0.500 0.500 0.000
0.500 0.500 0.500
```

ΔH_f (0 K) = -532 meV per atom
E above lowest polymorph = 0.0 meV per atom


Entry 21:
YHoMnPd | PBE | relaxed

The structure in POSCAR format:
```
YHoMnPd
1.0
7.045 0.000 0.000
0.000 7.045 0.000
0.000 0.000 7.045
Y Ho Mn Pd
4 4 4 4
Direct
0.000 0.000 0.000
0.000 0.500 0.500
0.500 0.000 0.500
0.500 0.500 0.000
0.000 0.000 0.500
0.000 0.500 0.000
0.500 0.000 0.000
0.500 0.500 0.500
0.250 0.250 0.250
0.250 0.750 0.750
0.750 0.250 0.750
0.750 0.750 0.250
0.250 0.250 0.750
0.250 0.750 0.250
0.750 0.250 0.250
0.750 0.750 0.750
```

ΔH_f (0 K) = -270 meV per atom


Entry 22:
PmHo2Mn | PBE | relaxed

The structure in POSCAR format:
```
PmHo2Mn
1.0
3.405 0.000 0.000
-1.703 2.949 0.000
0.000 0.000 34.073
Pm Ho Mn
3 6 3
Direct
0.000 0.000 0.000
0.333 0.667 0.667
0.667 0.333 0.333
0.000 0.000 0.419
0.000 0.000 0.581
0.333 0.667 0.086
0.333 0.667 0.247
0.667 0.333 0.753
0.667 0.333 0.914
0.000 0.000 0.500
0.333 0.667 0.167
0.667 0.333 0.833
```

ΔH_f (0 K) = 522 meV per atom
E above lowest polymorph = 405.3 meV per atom


Entry 23:
PmHoMn17 | PBE | relaxed

The structure in POSCAR format:
```
PmHoMn17
1.0
4.338 2.504 3.889
-4.338 2.504 3.889
0.000 -5.009 3.889
Pm Ho Mn
1 1 17
Direct
0.000 0.000 0.000
0.290 0.290 0.290
0.144 0.642 0.642
0.290 0.290 0.766
0.290 0.766 0.290
0.369 0.643 0.918
0.369 0.918 0.643
0.520 0.999 0.999
0.544 0.544 0.544
0.642 0.144 0.642
0.642 0.642 0.144
0.643 0.369 0.918
0.643 0.918 0.369
0.743 0.743 0.743
0.766 0.290 0.290
0.918 0.369 0.643
0.918 0.643 0.369
0.999 0.520 0.999
0.999 0.999 0.520
```

ΔH_f (0 K) = 20 meV per atom


no.,total magnetic moment (μB per cell)
1,3.06
2,1.13
3,5.99
4,3.01
5,7.15
6,8.00
7,8.00
8,8.00
9,4.63
10,4.15
11,3.77
12,4.52
13,5.42
14,4.83
15,17.64
16,2.54
17,4.12
18,4.54
19,4.56
20,4.21
21,13.41
22,9.17
23,4.23